(1)
Pr2Cu2AgPd5: optimized geometry, PBE.

Values from the calculation:
Size of the total moment   0.000 μB/cell
Formation enthalpy at 0 K   -522 meV per atom
Theoretical density   9.6 Mg/m³

a b c (Å): 9.534 9.534 4.012
angles (deg): 90.00 90.00 90.00
Positions (direct):
Pr 0.180 0.320 0.000
Pr 0.320 0.820 0.000
Pr 0.680 0.180 0.000
Pr 0.820 0.680 0.000
Cu 0.117 0.617 0.000
Cu 0.383 0.117 0.000
Cu 0.617 0.883 0.000
Cu 0.883 0.383 0.000
Ag 0.000 0.000 0.000
Ag 0.500 0.500 0.000
Pd 0.000 0.500 0.500
Pd 0.066 0.792 0.500
Pd 0.208 0.066 0.500
Pd 0.292 0.566 0.500
Pd 0.434 0.292 0.500
Pd 0.500 0.000 0.500
Pd 0.566 0.708 0.500
Pd 0.708 0.434 0.500
Pd 0.792 0.934 0.500
Pd 0.934 0.208 0.500

***

(2)
Pr2CuAg2Pd5: optimized geometry, PBE.

Values from the calculation:
Size of the total moment   0.000 μB/cell
Formation enthalpy at 0 K   -364 meV per atom
Theoretical density   9.3 Mg/m³

a b c (Å): 9.826 9.826 4.025
angles (deg): 90.00 90.00 90.00
Positions (direct):
Pr 0.175 0.325 0.000
Pr 0.325 0.825 0.000
Pr 0.675 0.175 0.000
Pr 0.825 0.675 0.000
Cu 0.000 0.000 0.000
Cu 0.500 0.500 0.000
Ag 0.125 0.625 0.000
Ag 0.375 0.125 0.000
Ag 0.625 0.875 0.000
Ag 0.875 0.375 0.000
Pd 0.000 0.500 0.500
Pd 0.052 0.806 0.500
Pd 0.194 0.052 0.500
Pd 0.306 0.552 0.500
Pd 0.448 0.306 0.500
Pd 0.500 0.000 0.500
Pd 0.552 0.694 0.500
Pd 0.694 0.448 0.500
Pd 0.806 0.948 0.500
Pd 0.948 0.194 0.500

***

(3)
CuRe2AgPd: optimized geometry, PBE.

Values from the calculation:
Size of the total moment   0.000 μB/cell
Formation enthalpy at 0 K   1865 meV per atom
Theoretical density   11.8 Mg/m³

a b c (Å): 4.468 4.468 4.594
angles (deg): 90.00 90.00 90.00
Positions (direct):
Cu 0.000 0.000 0.000
Re 0.000 0.500 0.000
Re 0.500 0.000 0.000
Ag 0.000 0.000 0.500
Pd 0.500 0.500 0.500

***

(4)
Cu2AgPdS: optimized geometry, PBE.

Values from the calculation:
Size of the total moment   0.000 μB/cell
Raw formation energy   0.600 eV/atom
Theoretical density   6.1 Mg/m³

a b c (Å): 4.785 4.785 4.412
angles (deg): 90.00 90.00 90.00
Positions (direct):
Cu 0.000 0.500 0.000
Cu 0.500 0.000 0.000
Ag 0.000 0.000 0.500
Pd 0.500 0.500 0.000
S 0.500 0.500 0.500

***

(5)
Cu7Ag2Sb2Pd: optimized geometry, PBE.

Values from the calculation:
Size of the total moment   0.000 μB/cell
Raw formation energy   0.128 eV/atom
Theoretical density   8.6 Mg/m³

a b c (Å): 3.651 3.651 14.883
angles (deg): 96.92 96.92 90.01
Positions (direct):
Cu 0.000 0.000 0.000
Cu 0.064 0.564 0.129
Cu 0.227 0.227 0.455
Cu 0.436 0.936 0.871
Cu 0.564 0.064 0.129
Cu 0.773 0.773 0.545
Cu 0.936 0.436 0.871
Ag 0.132 0.132 0.265
Ag 0.868 0.868 0.735
Sb 0.316 0.316 0.632
Sb 0.684 0.684 0.368
Pd 0.500 0.500 0.000

***

(6)
Sc4Cu2AgPd: optimized geometry, PBE.

Values from the calculation:
Size of the total moment   0.000 μB/cell
Formation enthalpy at 0 K   -423 meV per atom
Theoretical density   5.9 Mg/m³

a b c (Å): 8.159 8.159 8.159
angles (deg): 33.43 33.43 33.43
Positions (direct):
Sc 0.122 0.122 0.122
Sc 0.373 0.373 0.373
Sc 0.627 0.627 0.627
Sc 0.878 0.878 0.878
Cu 0.248 0.248 0.248
Cu 0.752 0.752 0.752
Ag 0.500 0.500 0.500
Pd 0.000 0.000 0.000